[1]
Computed, not measured: crystalline Sr2AlFeRh at its relaxed geometry at the PBEsol level of DFT.

Output
calculated formation energy = 2.79 eV/f.u.
M_tot = 0.890 μB/f.u.
calculated total energy = -22.08 eV/f.u.
calculated volume = 132.5 Å³/f.u.

Structure (POSCAR):
```
Sr2AlFeRh
1.0
4.3262 0.0000 0.0000
0.0000 5.5350 0.0000
0.0000 0.0000 5.5350
Sr Rh Al Fe
2 1 1 1
Direct
0.0000 0.0000 0.5000 Sr
0.0000 0.5000 0.0000 Sr
0.5000 0.0000 0.0000 Rh
0.5000 0.5000 0.5000 Al
0.0000 0.0000 0.0000 Fe
```

[2]
Computed, not measured: crystalline AlFeRu at its relaxed geometry at the PBEsol level of DFT.

Output
calculated formation energy = -0.28 eV/f.u.
M_tot = 1.314 μB/f.u.
calculated total energy = -23.51 eV/f.u.
calculated volume = 37.8 Å³/f.u.

Structure (POSCAR):
```
AlFeRu
1.0
2.6720 0.0000 0.0000
-1.3360 2.3140 0.0000
0.0000 0.0000 6.1132
Fe Al Ru
1 1 1
Direct
0.3333 0.6667 0.6632 Fe
0.0000 0.0000 0.9914 Al
0.6667 0.3333 0.3454 Ru
```

[3]
Computed, not measured: crystalline Al2FeRu at its relaxed geometry at the PBEsol level of DFT.

Output
calculated formation energy = -0.69 eV/f.u.
M_tot = 0.000 μB/f.u.
calculated total energy = -28.01 eV/f.u.
calculated volume = 53.3 Å³/f.u.

Structure (POSCAR):
```
Al2FeRu
1.0
2.6829 0.0000 0.0000
0.0000 2.6829 0.0000
0.0000 0.0000 7.4042
Ru Al Fe
1 2 1
Direct
0.5000 0.5000 0.7236 Ru
0.0000 0.0000 0.9749 Al
0.5000 0.5000 0.2875 Al
0.0000 0.0000 0.5140 Fe
```

[4]
Computed, not measured: crystalline Al2FeRu at its relaxed geometry at the PBEsol level of DFT.

Output
calculated formation energy = -1.92 eV/f.u.
M_tot = 1.313 μB/f.u.
calculated total energy = -29.24 eV/f.u.
calculated volume = 50.0 Å³/f.u.

Structure (POSCAR):
```
Al2FeRu
1.0
2.9366 0.0000 0.0000
0.0000 4.1244 0.0000
0.0000 0.0000 4.1244
Ru Fe Al
1 1 2
Direct
0.5000 0.0000 0.0000 Ru
0.5000 0.5000 0.5000 Fe
0.0000 0.5000 0.0000 Al
0.0000 0.0000 0.5000 Al
```